(1)
The following is a PBE calculation of an optimized crystal structure of TbTlSiSe4, from Alexandria via LeMat-Bulk.

Summary:
SG = P2_1/m (11)
density = 5.9 Mg/m³
final energy = -4.754 eV/atom
total magnetization = 0.0 μB/f.u.

Cell: 6.702 6.914 9.020 Å, 90.00 107.47 90.00°
Fractional positions:
Tb 0.232 0.250 0.054
Tb 0.768 0.750 0.946
Tl 0.245 0.250 0.564
Tl 0.755 0.750 0.436
Si 0.223 0.750 0.825
Si 0.777 0.250 0.175
Se 0.006 0.506 0.215
Se 0.006 0.994 0.215
Se 0.420 0.750 0.660
Se 0.423 0.750 0.079
Se 0.577 0.250 0.921
Se 0.580 0.250 0.340
Se 0.994 0.006 0.785
Se 0.994 0.494 0.785



(2)
The following is a PBE calculation of an optimized crystal structure of SiTcSe3, from Alexandria via LeMat-Bulk.

Summary:
SG = Pm-3m (221)
excess energy over the best structure of this formula in the dataset = 0.337 eV/atom
density = 5.9 Mg/m³
final energy = -4.275 eV/atom
total magnetization = 0.0 μB/f.u.

Cell: 4.670 4.670 4.670 Å, 90.00 90.00 90.00°
Fractional positions:
Si 0.000 0.000 0.000
Tc 0.500 0.500 0.500
Se 0.000 0.000 0.500
Se 0.000 0.500 0.000
Se 0.500 0.000 0.000



(3)
The following is a PBE calculation of an optimized crystal structure of SiTcSe3, from Alexandria via LeMat-Bulk.

Summary:
SG = Pm-3m (221)
excess energy over the best structure of this formula in the dataset = 0.000 eV/atom
density = 5.2 Mg/m³
final energy = -4.612 eV/atom
total magnetization = 0.7 μB/f.u.

Cell: 4.881 4.881 4.881 Å, 90.00 90.00 90.00°
Fractional positions:
Si 0.000 0.000 0.000
Tc 0.500 0.500 0.500
Se 0.000 0.500 0.500
Se 0.500 0.000 0.500
Se 0.500 0.500 0.000